1.
First-principles (GGA-PBE) data for a relaxed Tb2Pm6NdY3 crystal, as listed in Alexandria via LeMat-Bulk.

a b c (Å): 6.277 6.277 11.950
angles (deg): 95.01 95.01 119.99
Fractional coordinates of all 12 atoms:
Nd  0.000  0.000  0.000
Y  0.167  0.833  0.500
Tb  0.667  0.333  0.000
Pm  0.418  0.084  0.251
Pm  0.250  0.250  0.749
Pm  0.750  0.750  0.251
Y  0.500  0.500  0.500
Pm  0.084  0.418  0.251
Pm  0.582  0.916  0.749
Tb  0.333  0.667  0.000
Pm  0.916  0.582  0.749
Y  0.833  0.167  0.500

Properties
The formation energy comes out at 0.14 eV per formula unit.

***

2.
First-principles (GGA-PBE) data for a relaxed TlMoP2Cl crystal, as listed in Alexandria via LeMat-Bulk.

a b c (Å): 5.106 5.106 5.230
angles (deg): 90.00 90.00 90.00
Fractional coordinates of all 5 atoms:
P  0.000  0.500  0.000
Cl  0.000  0.000  0.500
Mo  0.500  0.500  0.500
Tl  0.000  0.000  0.000
P  0.500  0.000  0.000

Properties
The value obtained for the uncorrected formation energy is 1468 meV per atom.

***

3.
First-principles (GGA-PBE) data for a relaxed Ba3AlZn6Ga2 crystal, as listed in Alexandria via LeMat-Bulk.

a b c (Å): 6.605 6.605 8.439
angles (deg): 90.00 90.00 120.00
Fractional coordinates of all 12 atoms:
Zn  0.601  0.800  0.388
Zn  0.399  0.200  0.612
Al  0.000  0.000  0.500
Zn  0.200  0.399  0.388
Zn  0.800  0.601  0.612
Ba  0.000  0.000  0.000
Ga  0.667  0.333  0.856
Ga  0.333  0.667  0.144
Ba  0.667  0.333  0.245
Zn  0.800  0.200  0.612
Zn  0.200  0.800  0.388
Ba  0.333  0.667  0.755

Properties
The formation energy comes out at -2.13 eV per formula unit.

***

4.
First-principles (GGA-PBE) data for a relaxed LiRuSe crystal, as listed in Alexandria via LeMat-Bulk.

a b c (Å): 4.100 4.100 4.100
angles (deg): 60.00 60.00 60.00
Fractional coordinates of all 3 atoms:
Se  0.000  0.000  0.000
Ru  0.250  0.250  0.250
Li  0.500  0.500  0.500

Properties
The value obtained for the uncorrected formation energy is -26 meV per atom.

***

5.
First-principles (GGA-PBE) data for a relaxed LiSmIrRh crystal, as listed in Alexandria via LeMat-Bulk.

a b c (Å): 4.650 4.650 4.650
angles (deg): 60.00 60.00 60.00
Fractional coordinates of all 4 atoms:
Sm  0.500  0.500  0.500
Li  0.750  0.750  0.750
Rh  0.000  0.000  0.000
Ir  0.250  0.250  0.250

Properties
The formation energy comes out at -0.70 eV per formula unit.

***

6.
First-principles (GGA-PBE) data for a relaxed Th2Zn16Pd crystal, as listed in Alexandria via LeMat-Bulk.

a b c (Å): 6.845 6.845 6.845
angles (deg): 82.74 82.74 82.74
Fractional coordinates of all 19 atoms:
Zn  0.501  0.999  0.999
Zn  0.287  0.999  0.711
Zn  0.651  0.651  0.158
Zn  0.353  0.840  0.353
Zn  0.999  0.287  0.711
Th  0.340  0.340  0.340
Zn  0.999  0.711  0.287
Zn  0.711  0.999  0.287
Zn  0.999  0.999  0.501
Zn  0.711  0.287  0.999
Zn  0.651  0.158  0.651
Zn  0.158  0.651  0.651
Pd  0.898  0.898  0.898
Zn  0.999  0.501  0.999
Zn  0.287  0.711  0.999
Zn  0.102  0.102  0.102
Zn  0.353  0.353  0.840
Th  0.664  0.664  0.664
Zn  0.840  0.353  0.353

Properties
The formation energy comes out at -5.24 eV per formula unit.